No. 1
Here is a geometry-optimized Rb3DyU3Se8 structure from the Alexandria database. Energies are from GGA-PBE.

## Properties
N(E_F) = 17.1 states/eV/f.u.
Raw total energy = -5.976 eV per atom
Density = 5.861 g/cm³

Unit cell a=8.4074 b=8.4069 c=9.5017 alpha=116.27 beta=90.00 gamma=120.00
Last column: magnetic moment on the atom in μB.
Element x y z (fractional)
U 0.5000 0.5000 0.5000  2.54
U 0.0000 0.5000 0.5000  2.54
U 0.5000 0.0000 0.5000  2.54
Se 0.2693 0.0381 0.3070  -0.05
Se 0.2312 0.4623 0.6930  -0.05
Se 0.7307 0.9619 0.6930  -0.05
Se 0.2312 0.9619 0.6930  -0.05
Se 0.2677 0.5354 0.3031  -0.06
Se 0.7688 0.0381 0.3070  -0.05
Se 0.7688 0.5377 0.3070  -0.05
Se 0.7323 0.4646 0.6969  -0.06
Dy 0.0000 0.0000 0.5000  0.06
Rb 0.0000 0.0000 0.0000  0.00
Rb 0.5000 0.5000 0.0000  0.00
Rb 0.0000 0.5000 0.0000  0.00

***

No. 2
Here is a geometry-optimized RbDyUSe4 structure from the Alexandria database. Energies are from GGA-PBE.

## Properties
N(E_F) = 4.5 states/eV/f.u.
Raw total energy = -5.797 eV per atom
Density = 5.457 g/cm³

Unit cell a=8.9244 b=8.8027 c=8.8931 alpha=120.34 beta=90.00 gamma=120.46
Last column: magnetic moment on the atom in μB.
Element x y z (fractional)
Se 0.7345 0.4690 0.6883  -0.05
Se 0.7345 0.4690 0.2808  -0.05
Se 0.7283 0.0412 0.2706  -0.04
Se 0.2717 0.9588 0.7294  -0.04
Se 0.2655 0.5310 0.3117  -0.05
Se 0.6871 0.9588 0.7294  -0.04
Se 0.3129 0.0412 0.2706  -0.04
Se 0.2655 0.5310 0.7192  -0.05
Dy 0.5000 0.0000 0.5000  0.01
Dy 0.5000 0.0000 0.0000  0.01
U 0.0000 0.5000 0.5000  2.13
U 0.5000 0.5000 0.5000  2.13
Rb 0.1231 0.2462 0.8731  0.00
Rb 0.8769 0.7538 0.1269  0.00